Entry 1:
# Li4SnSb3, optimized geometry, DFT PBE
data_Li4SnSb3
_chemical_formula_sum 'Li8 Sn2 Sb6'
_cell_length_a 10.3824
_cell_length_b 6.4399
_cell_length_c 5.1745
_cell_angle_alpha 90.00
_cell_angle_beta 90.00
_cell_angle_gamma 90.00
_symmetry_space_group_name_H-M 'P m m a'
_symmetry_Int_Tables_number 51
loop_
_symmetry_equiv_pos_as_xyz
'x,y,z'
'-x,-y,-z'
'-x+1/2,-y,z'
'x+1/2,y,-z'
'x+1/2,-y,-z'
'-x+1/2,y,z'
'-x,y,-z'
'x,-y,z'
loop_
_atom_site_label
_atom_site_fract_x
_atom_site_fract_y
_atom_site_fract_z
_atom_site_occupancy
Li1 0.0000 0.2473 0.0000 1
Li2 0.2500 0.2486 0.3477 1
Sn1 0.0000 0.0000 0.5000 1
Sb1 0.0000 0.5000 0.5000 1
Sb2 0.2500 0.0000 0.8571 1
Sb3 0.2500 0.5000 0.8482 1
# * formation energy from raw total energies: -0.38 eV/atom



Entry 2:
# CsK5Rb6, optimized geometry, DFT PBE
data_CsK5Rb6
_chemical_formula_sum 'Cs2 K10 Rb12'
_cell_length_a 16.2594
_cell_length_b 14.7528
_cell_length_c 8.5758
_cell_angle_alpha 90.00
_cell_angle_beta 99.20
_cell_angle_gamma 90.00
_symmetry_space_group_name_H-M 'C 1 2/m 1'
_symmetry_Int_Tables_number 12
loop_
_symmetry_equiv_pos_as_xyz
'x,y,z'
'-x,-y,-z'
'-x,y,-z'
'x,-y,z'
'x+1/2,y+1/2,z'
'-x+1/2,-y+1/2,-z'
'-x+1/2,y+1/2,-z'
'x+1/2,-y+1/2,z'
loop_
_atom_site_label
_atom_site_fract_x
_atom_site_fract_y
_atom_site_fract_z
_atom_site_occupancy
Cs1 0.0000 0.0000 0.0000 1
K1 0.0000 0.1732 0.5000 1
K2 0.0000 0.3402 0.0000 1
K3 0.0000 0.5000 0.5000 1
Rb1 0.2440 0.3302 0.7502 1
Rb2 0.2462 0.5000 0.2609 1
# * energy of formation: 0.007 eV/atom



Entry 3:
# TaIrBr2, optimized geometry, DFT PBE
data_TaIrBr2
_chemical_formula_sum 'Ta1 Ir1 Br2'
_cell_length_a 3.2809
_cell_length_b 3.2809
_cell_length_c 6.5030
_cell_angle_alpha 90.00
_cell_angle_beta 90.00
_cell_angle_gamma 90.00
_symmetry_space_group_name_H-M 'P 4/m m m'
_symmetry_Int_Tables_number 123
_symmetry_space_group_name_Hall '-P 4 2'
loop_
_atom_site_label
_atom_site_fract_x
_atom_site_fract_y
_atom_site_fract_z
_atom_site_occupancy
Ta1 0.0000 0.0000 0.0000 1
Ir1 0.0000 0.0000 0.5000 1
Br1 0.5000 0.5000 0.2387 1
# * energy above the most stable polymorph in this dataset: 5.32 eV/f.u.
# * formation energy from raw total energies: 0.89 eV/atom